DFT (PBE) results for a geometry-optimized Na5Y3I12 structure.

The structure in POSCAR format:
```
Na5Y3I12
1.0
-9.209 9.209 9.209
9.209 -9.209 9.209
9.209 9.209 -9.209
Na Y I
20 12 48
Direct
0.000 0.000 0.000 Na
0.000 0.000 0.500 Na
0.000 0.500 0.000 Na
0.000 0.500 0.500 Na
0.125 0.750 0.875 Na
0.125 0.875 0.250 Na
0.250 0.125 0.875 Na
0.250 0.625 0.375 Na
0.375 0.250 0.625 Na
0.375 0.625 0.750 Na
0.500 0.000 0.000 Na
0.500 0.000 0.500 Na
0.500 0.500 0.000 Na
0.500 0.500 0.500 Na
0.625 0.375 0.250 Na
0.625 0.750 0.375 Na
0.750 0.375 0.625 Na
0.750 0.875 0.125 Na
0.875 0.125 0.750 Na
0.875 0.250 0.125 Na
0.125 0.250 0.375 Y
0.125 0.375 0.750 Y
0.250 0.375 0.125 Y
0.250 0.875 0.625 Y
0.375 0.125 0.250 Y
0.375 0.750 0.125 Y
0.625 0.250 0.875 Y
0.625 0.875 0.750 Y
0.750 0.125 0.375 Y
0.750 0.625 0.875 Y
0.875 0.625 0.250 Y
0.875 0.750 0.625 Y
0.051 0.227 0.130 I
0.051 0.325 0.922 I
0.078 0.630 0.403 I
0.078 0.949 0.675 I
0.097 0.727 0.675 I
0.097 0.870 0.422 I
0.130 0.051 0.227 I
0.130 0.578 0.903 I
0.175 0.227 0.597 I
0.175 0.449 0.578 I
0.227 0.130 0.051 I
0.227 0.597 0.175 I
0.273 0.325 0.903 I
0.273 0.449 0.370 I
0.325 0.903 0.273 I
0.325 0.922 0.051 I
0.370 0.273 0.449 I
0.370 0.597 0.922 I
0.403 0.078 0.630 I
0.403 0.825 0.773 I
0.422 0.097 0.870 I
0.422 0.825 0.551 I
0.449 0.370 0.273 I
0.449 0.578 0.175 I
0.551 0.422 0.825 I
0.551 0.630 0.727 I
0.578 0.175 0.449 I
0.578 0.903 0.130 I
0.597 0.175 0.227 I
0.597 0.922 0.370 I
0.630 0.403 0.078 I
0.630 0.727 0.551 I
0.675 0.078 0.949 I
0.675 0.097 0.727 I
0.727 0.551 0.630 I
0.727 0.675 0.097 I
0.773 0.403 0.825 I
0.773 0.870 0.949 I
0.825 0.551 0.422 I
0.825 0.773 0.403 I
0.870 0.422 0.097 I
0.870 0.949 0.773 I
0.903 0.130 0.578 I
0.903 0.273 0.325 I
0.922 0.051 0.325 I
0.922 0.370 0.597 I
0.949 0.675 0.078 I
0.949 0.773 0.870 I
```

Results
**DOS(E_F)**: 45.1 states/eV/cell
**Volume**: 39.1 Å³/atom
**Uncorrected formation energy**: -1.046 eV per atom
**Spin magnetization**: 2.024 μB/f.u.
**E_tot**: -3.276 eV/atom

***

DFT (PBE) results for a geometry-optimized Be3Hg structure.

The structure in POSCAR format:
```
Be3Hg
1.0
2.814 0.000 0.000
0.000 3.710 0.000
0.000 0.000 4.611
Be Hg
3 1
Direct
0.000 0.000 0.000 Be
0.000 0.500 0.277 Be
0.500 0.000 0.368 Be
0.500 0.500 0.755 Hg
```

Results
**DOS(E_F)**: 0.5 states/eV/cell
**Volume**: 12.0 Å³/atom
**Spin magnetization**: 0.000 μB/f.u.
**Energy of formation**: 1.7 eV/f.u.
**E_tot**: -2.449 eV/atom
**E above lowest polymorph**: 0.62 eV/f.u.

***

DFT (PBE) results for a geometry-optimized Li2AgAs2 structure.

The structure in POSCAR format:
```
Li2AgAs2
1.0
7.724 0.000 0.000
0.000 7.724 0.000
0.000 0.000 2.805
Li Ag As
4 2 4
Direct
0.118 0.382 0.000 Li
0.382 0.882 0.000 Li
0.618 0.118 0.000 Li
0.882 0.618 0.000 Li
0.000 0.000 0.000 Ag
0.500 0.500 0.000 Ag
0.184 0.684 0.500 As
0.316 0.184 0.500 As
0.684 0.816 0.500 As
0.816 0.316 0.500 As
```

Results
**DOS(E_F)**: 2.3 states/eV/cell
**Volume**: 16.7 Å³/atom
**Spin magnetization**: 0.000 μB/f.u.
**Energy of formation**: -1.2 eV/f.u.
**E_tot**: -3.439 eV/atom
**E above lowest polymorph**: 0.70 eV/f.u.